Entry from the Alexandria database: HoGaPt4 after structural relaxation (GGA-PBE).

Computed properties:
Raw total energy in eV for the cell shown: -145.5
Theoretical density in g cm⁻³: 15.48

abc: 7.580 7.580 7.580
angles: 90.00 90.00 90.00
Space group F-43m (No. 216)
Unique sites:
Ho  0.000  0.000  0.000
Ga  0.250  0.250  0.250
Pt  0.124  0.124  0.624

---

Entry from the Alexandria database: Ba3Ga2TcO8 after structural relaxation (GGA-PBE).

Computed properties:
Raw total energy in eV for the cell shown: -91.5
Theoretical density in g cm⁻³: 5.89

abc: 5.8064 5.8064 7.5027
angles: 90.00 90.00 120.00
Space group P-3m1 (No. 164)
Unique sites:
Ba  0.0000  0.0000  0.0000
Ba  0.3333  0.6667  0.6624
Ga  0.3333  0.6667  0.2269
Tc  0.0000  0.0000  0.5000
O  0.1621  0.3242  0.3336
O  0.3333  0.6667  0.9907